(1)
First-principles (PBE) data for a relaxed K2RuW crystal, as listed in Alexandria via LeMat-Bulk.

a = 21.0762 Å, b = 3.2480 Å, c = 3.8379 Å
α = 90.00°, β = 100.32°, γ = 90.00°
Atoms (fractional coordinates):
K1 0.1472 0.0000 0.1440
K2 0.3528 0.5000 0.8560
K3 0.6472 0.5000 0.1440
K4 0.8528 0.0000 0.8560
Ru1 0.0000 0.5000 0.0000
Ru2 0.5000 0.0000 0.0000
W1 0.0000 0.0000 0.5000
W2 0.5000 0.5000 0.5000

Properties
For the offset from the most stable computed form, the calculation gives 5.1 kJ per mole of atoms. The crystal system is monoclinic. The density is 4.67 Mg/m³.

***

(2)
First-principles (PBE) data for a relaxed K2RuW crystal, as listed in Alexandria via LeMat-Bulk.

a = 12.4988 Å, b = 12.4988 Å, c = 4.6557 Å
α = 90.00°, β = 90.00°, γ = 90.00°
Atoms (fractional coordinates):
K1 0.0788 0.2500 0.1250
K2 0.2500 0.5788 0.3750
K3 0.2500 0.9212 0.8750
K4 0.4212 0.2500 0.6250
K5 0.5788 0.7500 0.6250
K6 0.7500 0.0788 0.8750
K7 0.7500 0.4212 0.3750
K8 0.9212 0.7500 0.1250
Ru1 0.0000 0.0000 0.0000
Ru2 0.0000 0.5000 0.2500
Ru3 0.5000 0.0000 0.7500
Ru4 0.5000 0.5000 0.5000
W1 0.0000 0.0000 0.5000
W2 0.0000 0.5000 0.7500
W3 0.5000 0.0000 0.2500
W4 0.5000 0.5000 0.0000

Properties
For the offset from the most stable computed form, the calculation gives 76.7 kJ per mole of atoms. The crystal system is tetragonal. The density is 3.32 Mg/m³.

***

(3)
First-principles (PBE) data for a relaxed KRuW2 crystal, as listed in Alexandria via LeMat-Bulk.

a = 3.8466 Å, b = 3.8466 Å, c = 9.6938 Å
α = 90.00°, β = 90.00°, γ = 90.00°
Atoms (fractional coordinates):
K1 0.0000 0.0000 0.0000
K2 0.5000 0.5000 0.5000
Ru1 0.0000 0.0000 0.5000
Ru2 0.5000 0.5000 0.0000
W1 0.0000 0.5000 0.2500
W2 0.0000 0.5000 0.7500
W3 0.5000 0.0000 0.2500
W4 0.5000 0.0000 0.7500

Properties
For the offset from the most stable computed form, the calculation gives 99.6 kJ per mole of atoms. The crystal system is tetragonal. The density is 11.76 Mg/m³.

***

(4)
First-principles (PBE) data for a relaxed KRuW2 crystal, as listed in Alexandria via LeMat-Bulk.

a = 2.7744 Å, b = 3.9079 Å, c = 8.3008 Å
α = 90.00°, β = 90.00°, γ = 90.00°
Atoms (fractional coordinates):
K1 0.0000 0.0000 0.0000
Ru1 0.0000 0.0000 0.5000
W1 0.5000 0.5000 0.3502
W2 0.5000 0.5000 0.6498

Properties
For the offset from the most stable computed form, the calculation gives 12.8 kJ per mole of atoms. The crystal system is orthorhombic. The density is 9.37 Mg/m³.

***

(5)
First-principles (PBE) data for a relaxed KRuW crystal, as listed in Alexandria via LeMat-Bulk.

a = 3.0863 Å, b = 4.6793 Å, c = 16.1983 Å
α = 90.00°, β = 90.00°, γ = 90.00°
Atoms (fractional coordinates):
K1 0.0000 0.0000 0.0000
K2 0.0000 0.5000 0.5000
K3 0.5000 0.0000 0.5000
K4 0.5000 0.5000 0.0000
Ru1 0.0000 0.0000 0.3243
Ru2 0.0000 0.5000 0.8243
Ru3 0.5000 0.0000 0.8243
Ru4 0.5000 0.5000 0.3243
W1 0.0000 0.0000 0.6979
W2 0.0000 0.5000 0.1979
W3 0.5000 0.0000 0.1979
W4 0.5000 0.5000 0.6979

Properties
For the offset from the most stable computed form, the calculation gives 9.0 kJ per mole of atoms. The crystal system is orthorhombic. The density is 9.20 Mg/m³.

***

(6)
First-principles (PBE) data for a relaxed K2RuW crystal, as listed in Alexandria via LeMat-Bulk.

a = 3.7787 Å, b = 3.7787 Å, c = 5.9246 Å
α = 90.00°, β = 90.00°, γ = 90.00°
Atoms (fractional coordinates):
K1 0.0000 0.5000 0.0000
K2 0.5000 0.0000 0.0000
Ru1 0.0000 0.0000 0.5000
W1 0.5000 0.5000 0.5000

Properties
For the offset from the most stable computed form, the calculation gives 58.1 kJ per mole of atoms. The crystal system is tetragonal. The density is 7.13 Mg/m³.